! V2OsI PBE optimized geometry; values from VASP
&SYSTEM
  ibrav = 0, nat = 16, ntyp = 3
/
ATOMIC_SPECIES
V 50.94 V.upf
Os 190.23 Os.upf
I 126.90 I.upf
ATOMIC_POSITIONS crystal
V 0.194 0.250 0.125
V 0.250 0.694 0.375
V 0.250 0.806 0.875
V 0.306 0.250 0.625
V 0.694 0.750 0.625
V 0.750 0.194 0.875
V 0.750 0.306 0.375
V 0.806 0.750 0.125
Os 0.000 0.000 0.000
Os 0.000 0.500 0.250
Os 0.500 0.000 0.750
Os 0.500 0.500 0.500
I 0.000 0.000 0.500
I 0.000 0.500 0.750
I 0.500 0.000 0.250
I 0.500 0.500 0.000
CELL_PARAMETERS angstrom
5.854 0.000 0.000
0.000 5.854 0.000
0.000 0.000 11.700
! density of states at the Fermi level: 15.3 states/eV per cell
! formation energy (no corrections): 0.915 eV per atom
! distance to the lowest polymorph of the same formula: 11.66 kJ per mole of atoms
! uncorrected energy: -6.84 eV per atom

=====

! VOs3I PBE optimized geometry; values from VASP
&SYSTEM
  ibrav = 0, nat = 5, ntyp = 3
/
ATOMIC_SPECIES
V 50.94 V.upf
Os 190.23 Os.upf
I 126.90 I.upf
ATOMIC_POSITIONS crystal
V 0.000 0.000 0.000
Os 0.000 0.500 0.500
Os 0.500 0.000 0.500
Os 0.500 0.500 0.000
I 0.500 0.500 0.500
CELL_PARAMETERS angstrom
4.775 0.000 0.000
0.000 4.775 0.000
0.000 0.000 4.775
! density of states at the Fermi level: 8.3 states/eV per cell
! formation energy (no corrections): 2.784 eV per atom
! distance to the lowest polymorph of the same formula: 72.93 kJ per mole of atoms
! uncorrected energy: -6.09 eV per atom

=====

! V4Os2I PBE optimized geometry; values from VASP
&SYSTEM
  ibrav = 0, nat = 14, ntyp = 3
/
ATOMIC_SPECIES
V 50.94 V.upf
Os 190.23 Os.upf
I 126.90 I.upf
ATOMIC_POSITIONS crystal
V 0.000 0.000 0.211
V 0.000 0.000 0.789
V 0.000 0.500 0.000
V 0.000 0.500 0.500
V 0.500 0.000 0.000
V 0.500 0.000 0.500
V 0.500 0.500 0.289
V 0.500 0.500 0.711
Os 0.000 0.000 0.394
Os 0.000 0.000 0.606
Os 0.500 0.500 0.106
Os 0.500 0.500 0.894
I 0.000 0.000 0.000
I 0.500 0.500 0.500
CELL_PARAMETERS angstrom
4.768 0.000 0.000
0.000 4.768 0.000
0.000 0.000 12.347
! density of states at the Fermi level: 22.8 states/eV per cell
! formation energy (no corrections): 1.465 eV per atom
! uncorrected energy: -7.18 eV per atom

=====

! V2OsI PBE optimized geometry; values from VASP
&SYSTEM
  ibrav = 0, nat = 16, ntyp = 3
/
ATOMIC_SPECIES
V 50.94 V.upf
Os 190.23 Os.upf
I 126.90 I.upf
ATOMIC_POSITIONS crystal
V 0.250 0.250 0.250
V 0.250 0.250 0.750
V 0.250 0.750 0.250
V 0.250 0.750 0.750
V 0.750 0.250 0.250
V 0.750 0.250 0.750
V 0.750 0.750 0.250
V 0.750 0.750 0.750
Os 0.000 0.000 0.000
Os 0.000 0.500 0.500
Os 0.500 0.000 0.500
Os 0.500 0.500 0.000
I 0.000 0.000 0.500
I 0.000 0.500 0.000
I 0.500 0.000 0.000
I 0.500 0.500 0.500
CELL_PARAMETERS angstrom
6.338 0.000 0.000
0.000 6.338 0.000
0.000 0.000 6.338
! density of states at the Fermi level: 29.8 states/eV per cell
! formation energy (no corrections): 0.794 eV per atom
! distance to the lowest polymorph of the same formula: 0.00 kJ per mole of atoms
! uncorrected energy: -6.96 eV per atom

=====

! V3OsI PBE optimized geometry; values from VASP
&SYSTEM
  ibrav = 0, nat = 5, ntyp = 3
/
ATOMIC_SPECIES
V 50.94 V.upf
Os 190.23 Os.upf
I 126.90 I.upf
ATOMIC_POSITIONS crystal
V 0.000 0.000 0.500
V 0.000 0.500 0.000
V 0.500 0.000 0.000
Os 0.000 0.000 0.000
I 0.500 0.500 0.500
CELL_PARAMETERS angstrom
4.776 0.000 0.000
0.000 4.776 0.000
0.000 0.000 4.776
! density of states at the Fermi level: 8.7 states/eV per cell
! formation energy (no corrections): 1.073 eV per atom
! distance to the lowest polymorph of the same formula: 0.00 kJ per mole of atoms
! uncorrected energy: -6.95 eV per atom

=====

! OsWI2 PBE optimized geometry; values from VASP
&SYSTEM
  ibrav = 0, nat = 16, ntyp = 3
/
ATOMIC_SPECIES
Os 190.23 Os.upf
W 183.84 W.upf
I 126.90 I.upf
ATOMIC_POSITIONS crystal
Os 0.000 0.000 0.000
Os 0.000 0.500 0.500
Os 0.500 0.000 0.500
Os 0.500 0.500 0.000
W 0.000 0.000 0.500
W 0.000 0.500 0.000
W 0.500 0.000 0.000
W 0.500 0.500 0.500
I 0.250 0.250 0.250
I 0.250 0.250 0.750
I 0.250 0.750 0.250
I 0.250 0.750 0.750
I 0.750 0.250 0.250
I 0.750 0.250 0.750
I 0.750 0.750 0.250
I 0.750 0.750 0.750
CELL_PARAMETERS angstrom
6.764 0.000 0.000
0.000 6.764 0.000
0.000 0.000 6.764
! density of states at the Fermi level: 12.3 states/eV per cell
! formation energy (no corrections): 1.692 eV per atom
! distance to the lowest polymorph of the same formula: 0.00 kJ per mole of atoms
! uncorrected energy: -5.13 eV per atom